Here is a geometry-optimized GdCrGeO5 structure from Alexandria. Energies are from GGA+U.

Geometry as POSCAR:
```
GdCrGeO5
1.0
7.510 0.000 0.000
0.000 8.547 0.000
0.000 0.000 5.800
Gd Cr Ge O
4 4 4 20
Direct
0.145 0.174 0.000
0.355 0.674 0.000
0.645 0.326 0.000
0.855 0.826 0.000
0.000 0.500 0.252
0.000 0.500 0.748
0.500 0.000 0.252
0.500 0.000 0.748
0.115 0.857 0.500
0.385 0.357 0.500
0.615 0.643 0.500
0.885 0.143 0.500
0.000 0.000 0.289
0.000 0.000 0.711
0.106 0.718 0.253
0.106 0.718 0.747
0.162 0.425 0.500
0.168 0.446 0.000
0.332 0.946 0.000
0.338 0.925 0.500
0.394 0.218 0.253
0.394 0.218 0.747
0.500 0.500 0.289
0.500 0.500 0.711
0.606 0.782 0.253
0.606 0.782 0.747
0.662 0.075 0.500
0.668 0.054 0.000
0.832 0.554 0.000
0.838 0.575 0.500
0.894 0.282 0.253
0.894 0.282 0.747
```

Computed properties:
Raw total energy   -0.63408 Ry per atom
Magnetic moment   32.00 Bohr magnetons per cell
V   11.6 Å³/atom
Space-group type   Pbam